! CrPtAu2 | Alexandria | SCAN | single point on PBEsol structure; values from VASP
! Energy of formation from the pure elements in meV/atom: -175
! DFT total energy in Ha/atom: -2.091
! V in A^3/atom: 15.61
! Density in kg/m³: 17051
! Symmetry: Pmm2, No. 25
&SYSTEM
  ibrav = 0, nat = 4, ntyp = 3
/
ATOMIC_SPECIES
Cr 52.00 Cr.upf
Pt 195.08 Pt.upf
Au 196.97 Au.upf
CELL_PARAMETERS angstrom
2.9067 0.0000 0.0000
0.0000 3.7454 0.0000
0.0000 0.0000 5.7342
ATOMIC_POSITIONS crystal
Cr 0.0000 0.0000 0.0000
Pt 0.5000 0.5000 0.2162
Au 0.0000 0.0000 0.4826
Au 0.5000 0.5000 0.7421

***

! CrPtAu2 | Alexandria | SCAN | single point on PBEsol structure; values from VASP
! Energy of formation from the pure elements in meV/atom: -89
! DFT total energy in Ha/atom: -2.088
! V in A^3/atom: 15.79
! Density in kg/m³: 16850
! Symmetry: P4/mmm, No. 123
&SYSTEM
  ibrav = 0, nat = 4, ntyp = 3
/
ATOMIC_SPECIES
Cr 52.00 Cr.upf
Pt 195.08 Pt.upf
Au 196.97 Au.upf
CELL_PARAMETERS angstrom
3.3839 0.0000 0.0000
0.0000 3.3839 0.0000
0.0000 0.0000 5.5169
ATOMIC_POSITIONS crystal
Cr 0.0000 0.0000 0.0000
Pt 0.0000 0.0000 0.5000
Au 0.5000 0.5000 0.2449
Au 0.5000 0.5000 0.7551

***

Q: What is the density in the second record?
A: 16850 kg/m³

***

Q: energy of formation from the pure elements of number 1 (CrPtAu2)?
A: -175 meV/atom

***

Q: Which value of density does entry 2 give?
A: 16850 kg/m³

***

Please write out number 2 again, unchanged.
! CrPtAu2 | Alexandria | SCAN | single point on PBEsol structure; values from VASP
! Energy of formation from the pure elements in meV/atom: -89
! DFT total energy in Ha/atom: -2.088
! V in A^3/atom: 15.79
! Density in kg/m³: 16850
! Symmetry: P4/mmm, No. 123
&SYSTEM
  ibrav = 0, nat = 4, ntyp = 3
/
ATOMIC_SPECIES
Cr 52.00 Cr.upf
Pt 195.08 Pt.upf
Au 196.97 Au.upf
CELL_PARAMETERS angstrom
3.3839 0.0000 0.0000
0.0000 3.3839 0.0000
0.0000 0.0000 5.5169
ATOMIC_POSITIONS crystal
Cr 0.0000 0.0000 0.0000
Pt 0.0000 0.0000 0.5000
Au 0.5000 0.5000 0.2449
Au 0.5000 0.5000 0.7551